# 1
This record from the Alexandria database describes a relaxed La7Os4C9 crystal. The functional is PBE-GGA.

Unit cell a=6.6024 b=6.6024 c=12.0202 alpha=108.75 beta=108.75 gamma=48.55
Last column: nearest neighbours and their distance in Å.
Atoms (fractional coordinates):
La (0.0000, 0.0000, 0.0000)  4 C 2.65-2.71
La (0.1392, 0.1392, 0.6174)  5 C 2.68-2.77
La (0.1450, 0.1450, 0.3188)  4 C 2.62-2.79
La (0.3741, 0.3741, 0.1578)  7 C 2.70-2.83
La (0.6259, 0.6259, 0.8422)  7 C 2.70-2.83
La (0.8550, 0.8550, 0.6812)  4 C 2.62-2.79
La (0.8608, 0.8608, 0.3826)  5 C 2.68-2.77
Os (0.3581, 0.3581, 0.8590)  3 C 1.93-1.94
Os (0.4342, 0.4342, 0.5716)  3 C 1.95-2.08
Os (0.5658, 0.5658, 0.4284)  3 C 1.95-2.08
Os (0.6419, 0.6419, 0.1410)  3 C 1.93-1.94
C (0.0787, 0.0787, 0.8198)  1 C 1.33
C (0.1964, 0.1964, 0.8544)  1 C 1.33
C (0.3849, 0.3849, 0.7095)  2 Os 1.93-1.95
C (0.3921, 0.3921, 0.3883)  2 Os 1.97-2.08
C (0.5000, 0.5000, 0.0000)  2 Os 1.94
C (0.6079, 0.6079, 0.6117)  2 Os 1.97-2.08
C (0.6151, 0.6151, 0.2905)  2 Os 1.93-1.95
C (0.8036, 0.8036, 0.1456)  1 C 1.33
C (0.9213, 0.9213, 0.1802)  1 C 1.33

energy relative to the elements	-0.283	eV per atom
SG	C2/m (12)


# 2
This record from the Alexandria database describes a relaxed La2OsC2 crystal. The functional is PBE-GGA.

Unit cell a=6.5882 b=5.5196 c=10.3573 alpha=90.00 beta=90.00 gamma=90.00
Last column: nearest neighbours and their distance in Å.
Atoms (fractional coordinates):
La (0.0184, 0.2500, 0.2226)  4 C 2.73-2.86
La (0.2021, 0.2500, 0.5459)  5 C 2.61-2.76
La (0.2979, 0.7500, 0.0459)  5 C 2.61-2.76
La (0.4816, 0.7500, 0.7226)  4 C 2.73-2.86
La (0.5184, 0.2500, 0.2774)  4 C 2.73-2.86
La (0.7021, 0.2500, 0.9541)  5 C 2.61-2.76
La (0.7979, 0.7500, 0.4541)  5 C 2.61-2.76
La (0.9816, 0.7500, 0.7774)  4 C 2.73-2.86
Os (0.2376, 0.2500, 0.8553)  3 C 1.93-2.00
Os (0.2624, 0.7500, 0.3553)  3 C 1.93-2.00
Os (0.7376, 0.2500, 0.6447)  3 C 1.93-2.00
Os (0.7624, 0.7500, 0.1447)  3 C 1.93-2.00
C (0.0210, 0.7500, 0.2454)  2 Os 1.96-2.00
C (0.1899, 0.7500, 0.5354)  1 Os 1.93
C (0.3101, 0.2500, 0.0354)  1 Os 1.93
C (0.4790, 0.2500, 0.7454)  2 Os 1.96-2.00
C (0.5210, 0.7500, 0.2546)  2 Os 1.96-2.00
C (0.6899, 0.7500, 0.9646)  1 Os 1.93
C (0.8101, 0.2500, 0.4646)  1 Os 1.93
C (0.9790, 0.2500, 0.7546)  2 Os 1.96-2.00

energy relative to the elements	-0.227	eV per atom
SG	Pnma (62)


# 3
This record from the Alexandria database describes a relaxed LaPa2OsC4 crystal. The functional is PBE-GGA.

Unit cell a=6.2580 b=6.2580 c=12.3179 alpha=90.00 beta=90.00 gamma=146.40
Last column: nearest neighbours and their distance in Å.
Atoms (fractional coordinates):
La (0.0934, 0.9066, 0.7500)  6 C 2.78-3.04, 1 Os 3.10
La (0.9066, 0.0934, 0.2500)  6 C 2.78-3.04, 1 Os 3.10
Pa (0.3673, 0.6327, 0.5455)  6 C 2.41-2.59
Pa (0.3673, 0.6327, 0.9545)  6 C 2.41-2.59
Pa (0.6327, 0.3673, 0.0455)  6 C 2.41-2.59
Pa (0.6327, 0.3673, 0.4545)  6 C 2.41-2.59
Os (0.1654, 0.8346, 0.2500)  4 C 1.96-2.06
Os (0.8346, 0.1654, 0.7500)  4 C 1.96-2.06
C (0.0000, 0.0000, 0.0000)  4 Pa 2.47
C (0.0000, 0.0000, 0.5000)  4 Pa 2.47
C (0.2553, 0.7447, 0.1169)  1 Os 1.96
C (0.2553, 0.7447, 0.3831)  1 Os 1.96
C (0.4171, 0.5829, 0.7500)  2 Os 2.06
C (0.5829, 0.4171, 0.2500)  2 Os 2.06
C (0.7447, 0.2553, 0.6169)  1 Os 1.96
C (0.7447, 0.2553, 0.8831)  1 Os 1.96

energy relative to the elements	-0.167	eV per atom
SG	Cmcm (63)


# 4
This record from the Alexandria database describes a relaxed La2OsPbC crystal. The functional is PBE-GGA.

Unit cell a=5.4422 b=5.4422 c=3.9884 alpha=90.00 beta=90.00 gamma=90.00
Last column: nearest neighbours and their distance in Å.
Atoms (fractional coordinates):
La (0.0000, 0.5000, 0.0000)  2 C 2.72
La (0.5000, 0.0000, 0.0000)  2 C 2.72
Os (0.0000, 0.0000, 0.5000)  2 C 1.99
Pb (0.5000, 0.5000, 0.5000)  8 La 3.37
C (0.0000, 0.0000, 0.0000)  2 Os 1.99

energy relative to the elements	-0.284	eV per atom
SG	P4/mmm (123)


# 5
This record from the Alexandria database describes a relaxed La8OsPd2C crystal. The functional is PBE-GGA.

Unit cell a=6.7889 b=8.2825 c=6.8665 alpha=90.00 beta=90.97 gamma=90.00
Last column: nearest neighbours and their distance in Å.
Atoms (fractional coordinates):
La (0.2160, 0.2331, 0.3457)  1 C 2.66, 1 Os 2.87
La (0.2160, 0.7669, 0.3457)  1 C 2.66, 1 Os 2.87
La (0.2372, 0.0000, 0.8056)  1 C 2.62
La (0.2556, 0.5000, 0.8355)  1 Os 2.86, 2 Pd 2.94
La (0.7444, 0.5000, 0.1645)  1 Os 2.86, 2 Pd 2.94
La (0.7628, 0.0000, 0.1944)  1 C 2.62
La (0.7840, 0.2331, 0.6543)  1 C 2.66, 1 Os 2.87
La (0.7840, 0.7669, 0.6543)  1 C 2.66, 1 Os 2.87
Os (0.0000, 0.5000, 0.5000)  6 La 2.86-2.87
Pd (0.5000, 0.2388, 0.0000)  6 La 2.94-3.08
Pd (0.5000, 0.7612, 0.0000)  6 La 2.94-3.08
C (0.0000, 0.0000, 0.5000)  6 La 2.62-2.66

energy relative to the elements	-0.283	eV per atom
SG	P2/m (10)


# 6
This record from the Alexandria database describes a relaxed LaPm2OsC2 crystal. The functional is PBE-GGA.

Unit cell a=5.8070 b=11.3503 c=3.9405 alpha=90.00 beta=90.00 gamma=90.00
Last column: nearest neighbours and their distance in Å.
Atoms (fractional coordinates):
La (0.0000, 0.0000, 0.0000)  4 C 2.79
La (0.5000, 0.5000, 0.5000)  4 C 2.79
Pm (0.0271, 0.2964, 0.5000)  3 C 2.55-2.60
Pm (0.4729, 0.7964, 0.0000)  3 C 2.55-2.60
Pm (0.5271, 0.2036, 0.0000)  3 C 2.55-2.60
Pm (0.9729, 0.7036, 0.5000)  3 C 2.55-2.60
Os (0.0000, 0.5000, 0.0000)  2 C 1.96
Os (0.5000, 0.0000, 0.5000)  2 C 1.96
C (0.2495, 0.3831, 0.0000)  1 Os 1.96
C (0.2505, 0.8831, 0.5000)  1 Os 1.96
C (0.7495, 0.1169, 0.5000)  1 Os 1.96
C (0.7505, 0.6169, 0.0000)  1 Os 1.96

energy relative to the elements	-0.083	eV per atom
SG	Pnnm (58)


# 7
This record from the Alexandria database describes a relaxed La2PrOsC2 crystal. The functional is PBE-GGA.

Unit cell a=5.8948 b=11.4816 c=3.9814 alpha=90.00 beta=90.00 gamma=90.00
Last column: nearest neighbours and their distance in Å.
Atoms (fractional coordinates):
La (0.0339, 0.2041, 0.0000)  3 C 2.64-2.71
La (0.4661, 0.7041, 0.5000)  3 C 2.64-2.71
La (0.5339, 0.2959, 0.5000)  3 C 2.64-2.71
La (0.9661, 0.7959, 0.0000)  3 C 2.64-2.71
Pr (0.0000, 0.5000, 0.5000)  4 C 2.74
Pr (0.5000, 0.0000, 0.0000)  4 C 2.74
Os (0.0000, 0.0000, 0.5000)  2 C 1.95
Os (0.5000, 0.5000, 0.0000)  2 C 1.95
C (0.2416, 0.6065, 0.0000)  1 Os 1.95
C (0.2584, 0.1065, 0.5000)  1 Os 1.95
C (0.7416, 0.8935, 0.5000)  1 Os 1.95
C (0.7584, 0.3935, 0.0000)  1 Os 1.95

energy relative to the elements	-0.022	eV per atom
SG	Pnnm (58)


# 8
This record from the Alexandria database describes a relaxed LaPu2OsC4 crystal. The functional is PBE-GGA.

Unit cell a=6.2470 b=6.2470 c=12.1888 alpha=90.00 beta=90.00 gamma=147.01
Last column: nearest neighbours and their distance in Å.
Atoms (fractional coordinates):
La (0.0944, 0.9056, 0.7500)  6 C 2.75-2.98
La (0.9056, 0.0944, 0.2500)  6 C 2.75-2.98
Pu (0.3709, 0.6291, 0.5410)  6 C 2.40-2.61
Pu (0.3709, 0.6291, 0.9590)  6 C 2.40-2.61
Pu (0.6291, 0.3709, 0.0410)  6 C 2.40-2.61
Pu (0.6291, 0.3709, 0.4590)  6 C 2.40-2.61
Os (0.1657, 0.8343, 0.2500)  4 C 1.91-2.04
Os (0.8343, 0.1657, 0.7500)  4 C 1.91-2.04
C (0.0000, 0.0000, 0.0000)  4 Pu 2.41
C (0.0000, 0.0000, 0.5000)  4 Pu 2.41
C (0.2557, 0.7443, 0.1204)  1 Os 1.91
C (0.2557, 0.7443, 0.3796)  1 Os 1.91
C (0.4189, 0.5811, 0.7500)  2 Os 2.04
C (0.5811, 0.4189, 0.2500)  2 Os 2.04
C (0.7443, 0.2557, 0.6204)  1 Os 1.91
C (0.7443, 0.2557, 0.8796)  1 Os 1.91

energy relative to the elements	0.075	eV per atom
SG	Cmcm (63)


# 9
This record from the Alexandria database describes a relaxed LaSbOs2C crystal. The functional is PBE-GGA.

Unit cell a=4.2212 b=4.2212 c=5.0474 alpha=90.00 beta=90.00 gamma=90.00
Last column: nearest neighbours and their distance in Å.
Atoms (fractional coordinates):
La (0.0000, 0.0000, 0.0000)  4 Sb 2.98, 8 Os 3.29
Sb (0.5000, 0.5000, 0.0000)  2 C 2.52
Os (0.0000, 0.5000, 0.5000)  2 C 2.11
Os (0.5000, 0.0000, 0.5000)  2 C 2.11
C (0.5000, 0.5000, 0.5000)  4 Os 2.11

SG	P4/mmm (123)
formation energy (no corrections)	0.45	eV per atom


# 10
This record from the Alexandria database describes a relaxed La2OsCSe crystal. The functional is PBE-GGA.

Unit cell a=5.3682 b=5.3682 c=3.8822 alpha=90.00 beta=90.00 gamma=90.00
Last column: nearest neighbours and their distance in Å.
Atoms (fractional coordinates):
La (0.0000, 0.5000, 0.0000)  2 C 2.68
La (0.5000, 0.0000, 0.0000)  2 C 2.68
Os (0.0000, 0.0000, 0.5000)  2 C 1.94
C (0.0000, 0.0000, 0.0000)  2 Os 1.94
Se (0.5000, 0.5000, 0.5000)  8 La 3.31

SG	P4/mmm (123)
formation energy (no corrections)	-0.75	eV per atom